{"formula": "PrCuAg", "functional": "GGA-PBE", "state": "optimized geometry", "formation_enthalpy_0k_ev_per_atom": 0.297, "energy_ev_per_cell": -10.4, "relative_energy_mev_per_atom": 524.5, "spacegroup": "F-43m (216)", "lattice": [[0.000, 3.475, 3.475], [3.475, 0.000, 3.475], [3.475, 3.475, 0.000]], "species": ["Ag", "Pr", "Cu"], "frac_coords": [[0.250, 0.250, 0.250], [0.000, 0.000, 0.000], [0.750, 0.750, 0.750]]}

***

{"formula": "Pr2CuAg", "functional": "GGA-PBE", "state": "optimized geometry", "formation_enthalpy_0k_ev_per_atom": -0.207, "energy_ev_per_cell": -33.8, "relative_energy_mev_per_atom": 0.0, "spacegroup": "P2_1/m (11)", "lattice": [[-4.857, -2.860, -1.552], [2.000, -4.122, 1.339], [-2.665, 0.947, 6.897]], "species": ["Ag", "Ag", "Pr", "Pr", "Pr", "Pr", "Cu", "Cu"], "frac_coords": [[0.637, 0.250, 0.962], [0.363, 0.750, 0.038], [0.132, 0.250, 0.808], [0.359, 0.250, 0.331], [0.868, 0.750, 0.192], [0.641, 0.750, 0.669], [0.129, 0.750, 0.537], [0.871, 0.250, 0.463]]}

***

{"formula": "PrCuSi2Ag", "functional": "GGA-PBE", "state": "optimized geometry", "energy_ev_per_cell": -24.6, "spacegroup": "I-4m2 (119)", "lattice": [[3.045, -1.973, -4.759], [5.289, -2.716, 0.683], [-5.540, -0.277, 2.246]], "species": ["Cu", "Si", "Si", "Pr", "Ag"], "frac_coords": [[0.500, 0.500, 0.000], [0.364, 0.864, 0.500], [0.136, 0.636, 0.500], [0.750, 0.250, 0.500], [0.000, 0.000, 0.000]]}

***

{"formula": "CuAg2Pt3", "functional": "GGA-PBE", "state": "optimized geometry", "formation_enthalpy_0k_ev_per_atom": -0.085, "energy_ev_per_cell": -28.0, "spacegroup": "P-3m1 (164)", "lattice": [[2.798, 0.000, 0.000], [-1.399, 2.423, 0.000], [0.000, 0.000, 13.871]], "species": ["Ag", "Ag", "Cu", "Pt", "Pt", "Pt"], "frac_coords": [[0.667, 0.333, 0.326], [0.333, 0.667, 0.674], [0.000, 0.000, 0.000], [0.333, 0.667, 0.152], [0.000, 0.000, 0.500], [0.667, 0.333, 0.848]]}

***

{"formula": "Cu2AgPt3", "functional": "GGA-PBE", "state": "optimized geometry", "formation_enthalpy_0k_ev_per_atom": -0.125, "energy_ev_per_cell": -29.2, "spacegroup": "P-3m1 (164)", "lattice": [[-2.086, -1.345, -1.237], [2.333, -1.353, 0.645], [-5.084, -3.080, 11.921]], "species": ["Pt", "Pt", "Pt", "Cu", "Cu", "Ag"], "frac_coords": [[0.000, 0.000, 0.000], [0.333, 0.667, 0.682], [0.667, 0.333, 0.318], [0.667, 0.333, 0.841], [0.333, 0.667, 0.159], [0.000, 0.000, 0.500]]}

***

{"formula": "CuAgSnPt", "functional": "GGA-PBE", "state": "optimized geometry", "energy_ev_per_cell": -17.1, "relative_energy_mev_per_atom": 0.0, "spacegroup": "F-43m (216)", "lattice": [[0.000, 3.233, 3.233], [3.233, 0.000, 3.233], [3.233, 3.233, 0.000]], "species": ["Pt", "Ag", "Sn", "Cu"], "frac_coords": [[0.250, 0.250, 0.250], [0.500, 0.500, 0.500], [0.000, 0.000, 0.000], [0.750, 0.750, 0.750]]}

***

{"formula": "TlCuAgPt", "functional": "GGA-PBE", "state": "optimized geometry", "energy_ev_per_cell": -14.5, "relative_energy_mev_per_atom": 0.0, "spacegroup": "F-43m (216)", "lattice": [[2.965, -1.886, -2.985], [0.716, -4.555, 0.028], [-1.564, -2.602, -3.471]], "species": ["Tl", "Pt", "Ag", "Cu"], "frac_coords": [[0.000, 0.000, 0.000], [0.250, 0.250, 0.250], [0.500, 0.500, 0.500], [0.750, 0.750, 0.750]]}

***

{"formula": "CuReAgSb", "functional": "GGA-PBE", "state": "optimized geometry", "energy_ev_per_cell": -20.7, "relative_energy_mev_per_atom": 0.0, "spacegroup": "F-43m (216)", "lattice": [[0.897, -3.893, 2.175], [-1.048, -0.438, 4.404], [-3.407, -2.735, 1.266]], "species": ["Cu", "Sb", "Ag", "Re"], "frac_coords": [[0.750, 0.750, 0.750], [0.000, 0.000, 0.000], [0.500, 0.500, 0.500], [0.250, 0.250, 0.250]]}

***

{"formula": "CuReSiAg", "functional": "GGA-PBE", "state": "optimized geometry", "energy_ev_per_cell": -22.6, "relative_energy_mev_per_atom": 0.0, "spacegroup": "F-43m (216)", "lattice": [[2.337, 0.439, 3.608], [-1.971, 0.184, 3.841], [0.345, -3.302, 2.766]], "species": ["Re", "Si", "Cu", "Ag"], "frac_coords": [[0.250, 0.250, 0.250], [0.000, 0.000, 0.000], [0.750, 0.750, 0.750], [0.500, 0.500, 0.500]]}

***

{"formula": "TlCuReAg", "functional": "GGA-PBE", "state": "optimized geometry", "energy_ev_per_cell": -17.6, "relative_energy_mev_per_atom": 0.0, "spacegroup": "F-43m (216)", "lattice": [[-1.304, 2.994, 3.259], [-3.148, 3.232, -0.963], [-4.226, -0.277, 1.830]], "species": ["Cu", "Ag", "Tl", "Re"], "frac_coords": [[0.750, 0.750, 0.750], [0.500, 0.500, 0.500], [0.000, 0.000, 0.000], [0.250, 0.250, 0.250]]}

***

{"formula": "ZnCuReAg", "functional": "GGA-PBE", "state": "optimized geometry", "formation_enthalpy_0k_ev_per_atom": 0.681, "energy_ev_per_cell": -17.5, "relative_energy_mev_per_atom": 0.0, "spacegroup": "F-43m (216)", "lattice": [[-3.012, -2.997, -1.097], [-4.130, 1.237, -0.817], [-1.563, -0.143, -4.098]], "species": ["Zn", "Ag", "Cu", "Re"], "frac_coords": [[0.000, 0.000, 0.000], [0.500, 0.500, 0.500], [0.750, 0.750, 0.750], [0.250, 0.250, 0.250]]}

***

{"formula": "CuAgS", "functional": "GGA-PBE", "state": "optimized geometry", "energy_ev_per_cell": -9.8, "spacegroup": "P4/mmm (123)", "lattice": [[-0.455, -3.041, -2.199], [2.477, -1.908, 2.126], [-3.114, -1.309, 2.454]], "species": ["Cu", "S", "Ag"], "frac_coords": [[0.500, 0.500, 0.000], [0.500, 0.500, 0.500], [0.000, 0.000, 0.000]]}